Entry 1:
A plane-wave DFT calculation with PBE-GGA was carried out for a relaxed structure of Pr2DyEr6.

Results
**D(E_F)**: 25.0 states/eV per cell
**Volume**: 32.063 A^3/atom
**Magnetic moment**: 0.00 μB/f.u.
**E_form**: 75 meV/atom
**Final energy**: -81.73 eV/cell
**Energy relative to the lowest polymorph listed for this composition**: 0 meV per atom

CIF file:
```
data_Pr2DyEr6
_symmetry_space_group_name_H-M 'P 1'
_symmetry_Int_Tables_number 1
_cell_length_a 9.0682
_cell_length_b 8.8868
_cell_length_c 8.8868
_cell_angle_alpha 82.47
_cell_angle_beta 64.02
_cell_angle_gamma 64.02
loop_
_symmetry_equiv_pos_as_xyz
'x,y,z'
loop_
_atom_site_label
_atom_site_fract_x
_atom_site_fract_y
_atom_site_fract_z
Er1 0.8599 0.0613 0.3901
Er2 0.3145 0.0072 0.1881
Er3 0.1401 0.9387 0.6099
Er4 0.1855 0.8119 0.9928
Er5 0.0410 0.6649 0.4025
Er6 0.4590 0.5975 0.3351
Er7 0.5410 0.4025 0.6649
Er8 0.8145 0.1881 0.0072
Er9 0.9590 0.3351 0.5975
Er10 0.6401 0.6099 0.9387
Er11 0.6855 0.9928 0.8119
Er12 0.3599 0.3901 0.0613
Pr1 0.5669 0.7832 0.5980
Pr2 0.0669 0.5980 0.7832
Pr3 0.4331 0.2168 0.4020
Pr4 0.9331 0.4020 0.2168
Dy1 0.2500 0.1720 0.8280
Dy2 0.7500 0.8280 0.1720
```

***

Entry 2:
A plane-wave DFT calculation with PBE-GGA was carried out for a relaxed structure of Pr4DyEr3.

Results
**D(E_F)**: 26.1 states/eV per cell
**Volume**: 33.425 A^3/atom
**Magnetic moment**: 0.00 μB/f.u.
**E_form**: 30 meV/atom
**Final energy**: -74.34 eV/cell

CIF file:
```
data_Pr4DyEr3
_symmetry_space_group_name_H-M 'P 1'
_symmetry_Int_Tables_number 1
_cell_length_a 5.1203
_cell_length_b 10.1998
_cell_length_c 10.2403
_cell_angle_alpha 90.00
_cell_angle_beta 90.00
_cell_angle_gamma 90.00
loop_
_symmetry_equiv_pos_as_xyz
'x,y,z'
loop_
_atom_site_label
_atom_site_fract_x
_atom_site_fract_y
_atom_site_fract_z
Er1 0.5644 0.3816 0.2500
Er2 0.0644 0.3814 0.5000
Er3 0.0644 0.6184 0.7500
Er4 0.5644 0.3816 0.7500
Er5 0.0644 0.6184 0.2500
Er6 0.5644 0.6186 0.0000
Pr1 0.5644 0.1307 0.5000
Pr2 0.5644 0.8697 0.7502
Pr3 0.0644 0.8693 0.0000
Pr4 0.0644 0.8696 0.5000
Pr5 0.5644 0.1304 0.0000
Pr6 0.0644 0.1303 0.7498
Pr7 0.5644 0.8697 0.2498
Pr8 0.0644 0.1303 0.2502
Dy1 0.5644 0.6183 0.5000
Dy2 0.0644 0.3817 0.0000
```

***

Entry 3:
A plane-wave DFT calculation with PBE-GGA was carried out for a relaxed structure of Pr2DyEr4.

Results
**D(E_F)**: 22.2 states/eV per cell
**Volume**: 32.490 A^3/atom
**Magnetic moment**: 0.00 μB/f.u.
**E_form**: 39 meV/atom
**Final energy**: -64.28 eV/cell
**Energy relative to the lowest polymorph listed for this composition**: 0 meV per atom

CIF file:
```
data_Pr2DyEr4
_symmetry_space_group_name_H-M 'P 1'
_symmetry_Int_Tables_number 1
_cell_length_a 9.4541
_cell_length_b 8.8398
_cell_length_c 8.5908
_cell_angle_alpha 114.18
_cell_angle_beta 111.73
_cell_angle_gamma 114.28
loop_
_symmetry_equiv_pos_as_xyz
'x,y,z'
loop_
_atom_site_label
_atom_site_fract_x
_atom_site_fract_y
_atom_site_fract_z
Dy1 0.0555 0.1041 0.0153
Dy2 0.7000 0.6071 0.2353
Er1 0.0807 0.8578 0.2163
Er2 0.8763 0.3552 0.1315
Er3 0.6723 0.8595 0.0354
Er4 0.5542 0.6059 0.5144
Er5 0.9718 0.6219 0.6662
Er6 0.1944 0.1072 0.7334
Er7 0.4739 0.1247 0.1670
Er8 0.1666 0.3540 0.5307
Pr1 0.5812 0.3579 0.7164
Pr2 0.2795 0.5989 0.0764
Pr3 0.3679 0.8524 0.6335
Pr4 0.7757 0.0933 0.5782
```